(1)
{"formula": "NdNp2O7", "functional": "PBE", "state": "relaxed", "cell": [[1.9223, 1.1099, 10.3822], [-1.9223, 1.1099, 10.3822], [0.0000, -2.2197, 10.3822]], "species": ["Nd", "Np", "Np", "O", "O", "O", "O", "O", "O", "O"], "fractional_positions": [[0.0000, 0.0000, 0.0000], [0.4339, 0.4339, 0.4339], [0.5661, 0.5661, 0.5661], [0.0800, 0.0800, 0.0800], [0.2194, 0.2194, 0.2194], [0.3646, 0.3646, 0.3646], [0.5000, 0.5000, 0.5000], [0.6354, 0.6354, 0.6354], [0.7806, 0.7806, 0.7806], [0.9200, 0.9200, 0.9200]], "raw_formation_energy_ev_per_atom": -2.954}


(2)
{"formula": "LiY3Sn3Se8", "functional": "PBE", "state": "relaxed", "cell": [[4.1172, 2.3771, 6.9938], [-4.1172, 2.3771, 6.9938], [0.0000, -4.7542, 6.9938]], "species": ["Li", "Y", "Y", "Y", "Sn", "Sn", "Sn", "Se", "Se", "Se", "Se", "Se", "Se", "Se", "Se"], "fractional_positions": [[0.0000, 0.0000, 0.0000], [0.0000, 0.5000, 0.5000], [0.5000, 0.0000, 0.5000], [0.5000, 0.5000, 0.0000], [0.0000, 0.0000, 0.5000], [0.0000, 0.5000, 0.0000], [0.5000, 0.0000, 0.0000], [0.2421, 0.2421, 0.7449], [0.2421, 0.7449, 0.2421], [0.2544, 0.2544, 0.2544], [0.2551, 0.7579, 0.7579], [0.7449, 0.2421, 0.2421], [0.7456, 0.7456, 0.7456], [0.7579, 0.2551, 0.7579], [0.7579, 0.7579, 0.2551]], "raw_formation_energy_ev_per_atom": -1.157}


(3)
{"formula": "RbTlIn2Ag", "functional": "PBE", "state": "relaxed", "cell": [[5.5279, 0.0000, 0.0000], [0.0000, 5.5279, 0.0000], [0.0000, 0.0000, 5.7501]], "species": ["Rb", "Tl", "In", "In", "Ag"], "fractional_positions": [[0.0000, 0.0000, 0.0000], [0.5000, 0.5000, 0.0000], [0.0000, 0.5000, 0.5000], [0.5000, 0.0000, 0.5000], [0.5000, 0.5000, 0.5000]], "ef_mev_per_atom": 103}


(4)
{"formula": "NbZn2Au", "functional": "PBE", "state": "relaxed", "cell": [[7.1565, 0.0000, 0.0000], [0.0000, 7.1565, 0.0000], [0.0000, 0.0000, 5.5812]], "species": ["Nb", "Nb", "Nb", "Nb", "Zn", "Zn", "Zn", "Zn", "Zn", "Zn", "Zn", "Zn", "Au", "Au", "Au", "Au"], "fractional_positions": [[0.0000, 0.0000, 0.0000], [0.0000, 0.5000, 0.2500], [0.5000, 0.0000, 0.7500], [0.5000, 0.5000, 0.5000], [0.2374, 0.2500, 0.6250], [0.2500, 0.7374, 0.8750], [0.2500, 0.7626, 0.3750], [0.2626, 0.2500, 0.1250], [0.7374, 0.7500, 0.1250], [0.7500, 0.2374, 0.3750], [0.7500, 0.2626, 0.8750], [0.7626, 0.7500, 0.6250], [0.0000, 0.0000, 0.5000], [0.0000, 0.5000, 0.7500], [0.5000, 0.0000, 0.2500], [0.5000, 0.5000, 0.0000]], "ef_mev_per_atom": 254}


(5)
{"formula": "MnNiCl2", "functional": "PBE", "state": "relaxed", "cell": [[6.8428, 0.0000, 0.0000], [0.0000, 3.8199, 0.0000], [-0.7038, 0.0000, 6.7523]], "species": ["Mn", "Mn", "Ni", "Ni", "Cl", "Cl", "Cl", "Cl"], "fractional_positions": [[0.0000, 0.0000, 0.0000], [0.5000, 0.5000, 0.0000], [0.3452, 0.0000, 0.1540], [0.8452, 0.5000, 0.1540], [0.2992, 0.0000, 0.8205], [0.3956, 0.5000, 0.3394], [0.7992, 0.5000, 0.8205], [0.8956, 0.0000, 0.3394]], "raw_formation_energy_ev_per_atom": -0.337}


(6)
{"formula": "HfMg2SnO6", "functional": "PBE", "state": "relaxed", "cell": [[2.6508, 1.5304, 4.7633], [-2.6508, 1.5304, 4.7633], [0.0000, -3.0609, 4.7633]], "species": ["Hf", "Mg", "Mg", "Sn", "O", "O", "O", "O", "O", "O"], "fractional_positions": [[0.0000, 0.0000, 0.0000], [0.2883, 0.2883, 0.2883], [0.7904, 0.7904, 0.7904], [0.4982, 0.4982, 0.4982], [0.0996, 0.7040, 0.3891], [0.2022, 0.6009, 0.8897], [0.3891, 0.0996, 0.7040], [0.6009, 0.8897, 0.2022], [0.7040, 0.3891, 0.0996], [0.8897, 0.2022, 0.6009]], "raw_formation_energy_ev_per_atom": -2.634}


(7)
{"formula": "TlAgHg2", "functional": "PBE", "state": "relaxed", "cell": [[4.9026, 0.0000, 0.0000], [-2.4513, 4.2458, 0.0000], [0.0000, 0.0000, 15.4631]], "species": ["Tl", "Tl", "Tl", "Ag", "Ag", "Ag", "Hg", "Hg", "Hg", "Hg", "Hg", "Hg"], "fractional_positions": [[0.0000, 0.0000, 0.0000], [0.3333, 0.6667, 0.6667], [0.6667, 0.3333, 0.3333], [0.0000, 0.0000, 0.8035], [0.3333, 0.6667, 0.4701], [0.6667, 0.3333, 0.1368], [0.0000, 0.0000, 0.2221], [0.0000, 0.0000, 0.4395], [0.3333, 0.6667, 0.1061], [0.3333, 0.6667, 0.8888], [0.6667, 0.3333, 0.5554], [0.6667, 0.3333, 0.7728]], "ef_mev_per_atom": 87}


(8)
{"formula": "CaTiAl2O6", "functional": "PBE", "state": "relaxed", "cell": [[4.4056, -5.3940, 0.0000], [4.4056, 5.3940, 0.0000], [-2.6025, 0.0000, 5.4230]], "species": ["Ca", "Ca", "Ti", "Ti", "Al", "Al", "Al", "Al", "O", "O", "O", "O", "O", "O", "O", "O", "O", "O", "O", "O"], "fractional_positions": [[0.1069, 0.8931, 0.7500], [0.8931, 0.1069, 0.2500], [0.1949, 0.8051, 0.2500], [0.8051, 0.1949, 0.7500], [0.2973, 0.4443, 0.8290], [0.4443, 0.2973, 0.3290], [0.5557, 0.7027, 0.6710], [0.7027, 0.5557, 0.1710], [0.0515, 0.2154, 0.6896], [0.1694, 0.6353, 0.9436], [0.2154, 0.0515, 0.1896], [0.3315, 0.4308, 0.5378], [0.3647, 0.8306, 0.5564], [0.4308, 0.3315, 0.0378], [0.5692, 0.6685, 0.9622], [0.6353, 0.1694, 0.4436], [0.6685, 0.5692, 0.4622], [0.7846, 0.9485, 0.8104], [0.8306, 0.3647, 0.0564], [0.9485, 0.7846, 0.3104]], "raw_formation_energy_ev_per_atom": -3.026}


Number 1: raw total energy -9.490 eV/atom. Number 2: raw total energy -5.236 eV/atom. Number 3: raw total energy -2.229 eV/atom. Number 4: raw total energy -3.720 eV/atom. Number 5: raw total energy -4.998 eV/atom. Number 6: raw total energy -7.324 eV/atom. Number 7: raw total energy -1.368 eV/atom. Number 8: raw total energy -7.739 eV/atom.